DFT (PBE-GGA) results for a geometry-optimized CrPIr2 structure.

a b c (Å): 2.8028 2.8028 6.6303
angles (deg): 90.00 90.00 90.00
With the nearest neighbours (Å) after each atom.
Fractional positions:
Cr: 0.5000 0.5000 0.7218  4 P 2.42, 4 Ir 2.59
Ir: 0.5000 0.5000 0.2930  4 P 2.46
Ir: 0.0000 0.0000 0.9728  4 Cr 2.59, 4 Ir 2.80
P: 0.0000 0.0000 0.5125  4 Cr 2.42, 4 Ir 2.46

The space group is P4mm. Its formation enthalpy at 0 K is -0.187 eV/atom. Its electronic total energy is -8.3756 eV per atom.